Material: NbAgIO5
Method: DFT, PBE
State: relaxed

Properties
Uncorrected formation energy in meV/atom: -1032.6
Total DFT energy (no corrections) in eV/atom: -5.940

abc: 5.8443 5.8443 7.9108
angles: 100.54 100.54 112.16
With the nearest neighbours (Å) after each atom.
Fractional coordinates of all 16 atoms:
Nb1 0.0000 0.0000 0.0000  6 O 1.98-2.12
Nb2 0.0000 0.0000 0.5000  6 O 1.98-2.12
Ag1 0.3103 0.6897 0.7500  4 O 2.25-2.38
Ag2 0.6897 0.3103 0.2500  4 O 2.25-2.38
I1 0.3336 0.6664 0.2500  2 O 1.96
I2 0.6664 0.3336 0.7500  2 O 1.96
O1 0.0010 0.9990 0.2500  2 Nb 1.98
O2 0.2016 0.7910 0.4953  1 Nb 1.99
O3 0.2090 0.7984 0.0047  1 Nb 1.99
O4 0.3270 0.3584 0.0957  1 I 1.96, 1 Nb 2.12
O5 0.3584 0.3270 0.5957  1 I 1.96, 1 Nb 2.12
O6 0.6416 0.6730 0.4043  1 I 1.96, 1 Nb 2.12
O7 0.6730 0.6416 0.9043  1 I 1.96, 1 Nb 2.12
O8 0.7910 0.2016 0.9953  1 Nb 1.99
O9 0.7984 0.2090 0.5047  1 Nb 1.99
O10 0.9990 0.0010 0.7500  2 Nb 1.98



Material: NbAgI2O
Method: DFT, PBE
State: relaxed

Properties
Uncorrected formation energy in meV/atom: -534.7
Total DFT energy (no corrections) in eV/atom: -4.731
Excess energy over the best structure of this formula in the dataset in eV per atom: 0.000

abc: 5.8204 5.8204 3.9218
angles: 90.00 90.00 90.00
With the nearest neighbours (Å) after each atom.
Fractional coordinates of all 5 atoms:
Nb1 0.0000 0.0000 0.0000  2 O 1.96
Ag1 0.5000 0.5000 0.5000  8 I 3.51, 2 Ag 3.92
I1 0.0000 0.5000 0.0000  2 Nb 2.91
I2 0.5000 0.0000 0.0000  2 Nb 2.91
O1 0.0000 0.0000 0.5000  2 Nb 1.96



Material: NbAgPdI2
Method: DFT, PBE
State: relaxed

Properties
Uncorrected formation energy in meV/atom: 600.8
Total DFT energy (no corrections) in eV/atom: -3.642

abc: 5.4822 5.4822 5.0443
angles: 90.00 90.00 90.00
With the nearest neighbours (Å) after each atom.
Fractional coordinates of all 5 atoms:
Nb1 0.0000 0.0000 0.0000  2 Pd 2.52, 4 I 2.74
Ag1 0.5000 0.5000 0.5000  8 I 3.72, 4 Pd 3.88
Pd1 0.0000 0.0000 0.5000  2 Nb 2.52
I1 0.0000 0.5000 0.0000  2 Nb 2.74
I2 0.5000 0.0000 0.0000  2 Nb 2.74



Material: RbNbAg2I
Method: DFT, PBE
State: relaxed

Properties
Uncorrected formation energy in meV/atom: 867.8
Total DFT energy (no corrections) in eV/atom: -2.790
Excess energy over the best structure of this formula in the dataset in eV per atom: 0.448

abc: 5.3300 5.3300 8.0881
angles: 90.00 90.00 90.00
With the nearest neighbours (Å) after each atom.
Fractional coordinates of all 5 atoms:
Rb1 0.0000 0.0000 0.0000  4 I 3.77, 2 Nb 4.04
Nb1 0.0000 0.0000 0.5000  4 Ag 2.67
Ag1 0.0000 0.5000 0.5000  2 Nb 2.67
Ag2 0.5000 0.0000 0.5000  2 Nb 2.67
I1 0.5000 0.5000 0.0000  4 Rb 3.77



Material: RbNbAg2I
Method: DFT, PBE
State: relaxed

Properties
Uncorrected formation energy in meV/atom: 419.4
Total DFT energy (no corrections) in eV/atom: -3.239
Excess energy over the best structure of this formula in the dataset in eV per atom: 0.000

abc: 5.4953 5.4953 5.4233
angles: 90.00 90.00 90.00
With the nearest neighbours (Å) after each atom.
Fractional coordinates of all 5 atoms:
Rb1 0.0000 0.0000 0.0000  8 Ag 3.86, 4 I 3.89
Nb1 0.5000 0.5000 0.5000  2 I 2.71, 4 Ag 2.75
Ag1 0.0000 0.5000 0.5000  2 Nb 2.75
Ag2 0.5000 0.0000 0.5000  2 Nb 2.75
I1 0.5000 0.5000 0.0000  2 Nb 2.71



Material: Rb2NbAgI6
Method: DFT, PBE
State: relaxed

Properties
Uncorrected formation energy in meV/atom: -736.5
Total DFT energy (no corrections) in eV/atom: -3.152

abc: 8.3411 8.3411 8.3411
angles: 60.00 60.00 60.00
With the nearest neighbours (Å) after each atom.
Fractional coordinates of all 10 atoms:
Rb1 0.2500 0.2500 0.2500  12 I 4.17
Rb2 0.7500 0.7500 0.7500  12 I 4.17
Nb1 0.0000 0.0000 0.0000  6 I 2.87
Ag1 0.5000 0.5000 0.5000  6 I 3.03
I1 0.2433 0.2433 0.7567  1 Nb 2.87, 1 Ag 3.03
I2 0.2433 0.7567 0.2433  1 Nb 2.87, 1 Ag 3.03
I3 0.2433 0.7567 0.7567  1 Nb 2.87, 1 Ag 3.03
I4 0.7567 0.2433 0.2433  1 Nb 2.87, 1 Ag 3.03
I5 0.7567 0.2433 0.7567  1 Nb 2.87, 1 Ag 3.03
I6 0.7567 0.7567 0.2433  1 Nb 2.87, 1 Ag 3.03



Material: RbNbAg2I8
Method: DFT, PBE
State: relaxed

Properties
Uncorrected formation energy in meV/atom: -514.0
Total DFT energy (no corrections) in eV/atom: -2.942

abc: 7.2181 8.4966 9.6191
angles: 69.50 82.93 87.75
With the nearest neighbours (Å) after each atom.
Fractional coordinates of all 12 atoms:
Rb1 0.0000 0.0000 0.0000  6 I 3.78-3.87
Nb1 0.0000 0.5000 0.5000  6 I 2.75-2.82
Ag1 0.4649 0.5220 0.8406  4 I 2.82-2.95, 1 Ag 3.06
Ag2 0.5351 0.4780 0.1594  4 I 2.82-2.95, 1 Ag 3.06
I1 0.0809 0.4753 0.7866  1 Nb 2.82, 1 Ag 2.95
I2 0.1719 0.8101 0.3825  1 Nb 2.75
I3 0.3370 0.3445 0.4529  1 Nb 2.79, 1 Ag 2.86
I4 0.4641 0.7944 0.9473  2 Ag 2.82-2.84
I5 0.5359 0.2056 0.0527  2 Ag 2.82-2.84
I6 0.6630 0.6555 0.5471  1 Nb 2.79, 1 Ag 2.86
I7 0.8281 0.1899 0.6175  1 Nb 2.75
I8 0.9191 0.5247 0.2134  1 Nb 2.82, 1 Ag 2.95



Material: NbAgSbI2
Method: DFT, PBE
State: relaxed

Properties
Uncorrected formation energy in meV/atom: 442.8
Total DFT energy (no corrections) in eV/atom: -3.586
Excess energy over the best structure of this formula in the dataset in eV per atom: 0.000

abc: 5.5329 5.5329 5.5137
angles: 90.00 90.00 90.00
With the nearest neighbours (Å) after each atom.
Fractional coordinates of all 5 atoms:
Nb1 0.0000 0.0000 0.0000  2 Sb 2.76, 4 I 2.77
Ag1 0.5000 0.5000 0.5000  8 I 3.91, 4 Sb 3.91
Sb1 0.0000 0.0000 0.5000  2 Nb 2.76
I1 0.0000 0.5000 0.0000  2 Nb 2.77
I2 0.5000 0.0000 0.0000  2 Nb 2.77